{"formula": "Sm2TmTh3Sb6", "functional": "PBE-GGA", "state": "optimized geometry", "magnetic_moment_mub_per_fu": 0.0, "space_group": "C2/m", "dos_at_fermi_per_ev_cell": 6.1, "cell": [[4.473, 0.000, 0.000], [0.000, 8.904, 0.331], [-2.237, -2.546, 9.392]], "species": ["Sm", "Sm", "Tm", "Th", "Th", "Th", "Sb", "Sb", "Sb", "Sb", "Sb", "Sb"], "fractional_positions": [[0.833, 0.667, 0.667], [0.167, 0.333, 0.333], [0.500, 0.000, 0.000], [0.500, 0.500, 0.000], [0.832, 0.166, 0.664], [0.168, 0.834, 0.336], [0.337, 0.917, 0.674], [0.667, 0.581, 0.334], [0.663, 0.083, 0.326], [0.000, 0.242, 0.000], [0.000, 0.758, 0.000], [0.333, 0.419, 0.666]]}

=====

{"formula": "GeBiTe2Ru", "functional": "PBE-GGA", "state": "optimized geometry", "magnetic_moment_mub_per_fu": 2.3, "space_group": "P4/mmm", "dos_at_fermi_per_ev_cell": 6.2, "cell": [[5.319, 0.000, 0.000], [0.000, 5.438, 0.000], [0.000, 0.000, 5.319]], "species": ["Ru", "Ge", "Te", "Te", "Bi"], "fractional_positions": [[0.500, 0.500, 0.500], [0.000, 0.000, 0.000], [0.000, 0.000, 0.500], [0.500, 0.000, 0.000], [0.000, 0.500, 0.000]]}

=====

{"formula": "TmI3O11", "functional": "PBE-GGA", "state": "optimized geometry", "magnetic_moment_mub_per_fu": 4.0, "space_group": "P-1", "cell": [[-0.254, -4.920, 5.109], [6.438, 4.213, 0.814], [-6.670, 8.378, 2.458]], "species": ["Tm", "Tm", "I", "I", "I", "I", "I", "I", "O", "O", "O", "O", "O", "O", "O", "O", "O", "O", "O", "O", "O", "O", "O", "O", "O", "O", "O", "O", "O", "O"], "fractional_positions": [[0.048, 0.927, 0.289], [0.952, 0.073, 0.711], [0.691, 0.145, 0.343], [0.309, 0.855, 0.657], [0.328, 0.353, 0.573], [0.672, 0.647, 0.427], [0.245, 0.211, 0.066], [0.755, 0.789, 0.934], [0.568, 0.293, 0.115], [0.432, 0.707, 0.885], [0.721, 0.051, 0.495], [0.279, 0.949, 0.505], [0.011, 0.111, 0.120], [0.989, 0.889, 0.880], [0.635, 0.414, 0.465], [0.365, 0.586, 0.535], [0.387, 0.049, 0.271], [0.613, 0.951, 0.729], [0.122, 0.279, 0.911], [0.878, 0.721, 0.089], [0.119, 0.215, 0.407], [0.881, 0.785, 0.593], [0.284, 0.049, 0.748], [0.716, 0.951, 0.252], [0.135, 0.335, 0.651], [0.865, 0.665, 0.349], [0.367, 0.440, 0.180], [0.633, 0.560, 0.820], [0.269, 0.758, 0.309], [0.731, 0.242, 0.691]]}

=====

The calculation returns the following E_form (uncorrected) values, one per record and in order: -99.2, 118.6, -51.3 kJ per mole of atoms.